## Cs2Li2VF6 (PBE+U)

Data for a relaxed Cs2Li2VF6 crystal.

Output
- D(E_F): 0.000 states/eV per atom
- Total DFT energy (no corrections): -4.969 eV per atom

POSCAR file:
```
Cs2Li2VF6
1.0
6.134 0.000 0.000
3.067 5.312 0.000
3.067 1.771 5.867
Li F Cs V
2 6 2 1
direct
0.592 0.592 0.224
0.408 0.408 0.776
0.254 0.765 0.216
0.765 0.254 0.216
0.746 0.235 0.784
0.235 0.746 0.784
0.235 0.235 0.784
0.765 0.765 0.216
0.777 0.777 0.668
0.223 0.223 0.332
0.000 0.000 0.000
```